(1)
Cs2InIrI6 | GGA-PBE | relaxed

```
Cs2InIrI6
1.0
-6.2513 4.5104 3.4538
-5.2271 -6.5782 -0.8702
-4.1675 -2.9985 6.7022
I Ir Cs In
6 1 2 1
Direct
0.2275 0.2275 0.0000 I
0.2278 0.2278 0.5445 I
0.2275 0.7725 0.0000 I
0.7722 0.7722 0.4555 I
0.7725 0.7725 0.0000 I
0.7725 0.2275 0.0000 I
0.0000 0.0000 0.0000 Ir
0.7500 0.2500 0.5000 Cs
0.2500 0.7500 0.5000 Cs
0.5000 0.5000 0.0000 In
```

Values from the calculation:
mass density	5.2	Mg/m³
ΔE_f (raw)	-735	meV per atom
total DFT energy (no corrections)	-2.996	eV/atom

(2)
NdSiO4 | GGA-PBE | relaxed

```
NdSiO4
1.0
5.4410 0.0000 0.0000
0.0000 4.5967 0.9155
0.0000 -1.0136 5.0724
Si O Nd
2 8 2
Direct
0.5000 0.5000 0.0000 Si
0.0000 0.0000 0.0000 Si
0.7503 0.2502 0.8742 O
0.2503 0.2498 0.1258 O
0.7497 0.7502 0.8742 O
0.3794 0.4995 0.7003 O
0.8794 0.0005 0.2997 O
0.2497 0.7498 0.1258 O
0.1206 0.9995 0.7003 O
0.6206 0.5005 0.2997 O
0.5000 0.0000 0.5000 Nd
0.0000 0.5000 0.5000 Nd
```

Values from the calculation:
mass density	5.9	Mg/m³
ΔE_f (raw)	-2483	meV per atom
total DFT energy (no corrections)	-7.487	eV/atom

(3)
Cs2NaZrI6 | GGA-PBE | relaxed

```
Cs2NaZrI6
1.0
-0.8576 2.4458 8.2242
-8.3557 1.6401 -1.3591
-5.9854 -3.6882 4.9931
I Zr Cs Na
6 1 2 1
Direct
0.2404 0.2404 0.5192 I
0.7596 0.2404 0.0000 I
0.7596 0.7596 0.4808 I
0.7596 0.7596 0.0000 I
0.2404 0.2404 0.0000 I
0.2404 0.7596 0.0000 I
0.0000 0.0000 0.0000 Zr
0.2500 0.7500 0.5000 Cs
0.7500 0.2500 0.5000 Cs
0.5000 0.5000 0.0000 Na
```

Values from the calculation:
mass density	4.2	Mg/m³
ΔE_f (raw)	-1200	meV per atom
total DFT energy (no corrections)	-3.287	eV/atom

(4)
RbMg14Cr | GGA-PBE | relaxed

```
RbMg14Cr
1.0
-5.8966 -2.7971 -0.1293
5.2726 -3.1917 -2.1498
1.6450 -3.9235 9.8594
Mg Cr Rb
14 1 1
Direct
0.1732 0.8268 0.7328 Mg
0.8366 0.1634 0.0000 Mg
0.3292 0.1581 0.0000 Mg
0.3344 0.6656 0.0000 Mg
0.6647 0.8217 0.7576 Mg
0.1783 0.3353 0.2424 Mg
0.1783 0.3353 0.7576 Mg
0.1732 0.8268 0.2672 Mg
0.6642 0.3358 0.7691 Mg
0.6642 0.3358 0.2309 Mg
0.3210 0.1805 0.5000 Mg
0.8419 0.6708 0.0000 Mg
0.6647 0.8217 0.2424 Mg
0.8195 0.6790 0.5000 Mg
0.3396 0.6604 0.5000 Cr
0.8171 0.1829 0.5000 Rb
```

Values from the calculation:
mass density	2.0	Mg/m³
energy above the most stable polymorph in this dataset	0.11	eV per formula unit
total DFT energy (no corrections)	-1.847	eV/atom

(5)
Na4Pr3PaTe8 | GGA-PBE | relaxed

```
Na4Pr3PaTe8
1.0
-7.6729 -0.4246 4.7730
4.4654 -4.3925 6.7876
3.0906 7.9948 -2.8931
Te Pa Pr Na
8 1 3 4
Direct
0.7570 0.2598 0.5141 Te
0.2519 0.2561 0.5038 Te
0.2429 0.7401 0.9975 Te
0.2430 0.7402 0.4859 Te
0.2454 0.2599 0.0025 Te
0.7481 0.7439 0.4962 Te
0.7571 0.2599 0.0025 Te
0.7546 0.7401 0.9975 Te
0.0000 0.5000 0.0000 Pa
0.5000 0.5000 0.0000 Pr
0.0000 0.5000 0.5000 Pr
0.5000 0.5000 0.5000 Pr
0.0000 0.0000 0.0000 Na
0.5000 0.0000 0.0000 Na
0.5000 0.0000 0.5000 Na
0.0000 0.0000 0.5000 Na
```

Values from the calculation:
mass density	5.4	Mg/m³
ΔE_f (raw)	-1199	meV per atom
total DFT energy (no corrections)	-4.590	eV/atom

(6)
TbDyHo2Sc5 | GGA-PBE | relaxed

```
TbDyHo2Sc5
1.0
-1.1982 3.3071 -3.9950
-8.2699 -1.6685 4.6452
1.8191 8.0751 6.1391
Ho Sc Dy Tb
4 10 2 2
Direct
0.8923 0.7846 0.2323 Ho
0.1077 0.2154 0.7323 Ho
0.1130 0.2261 0.3237 Ho
0.8870 0.7739 0.8237 Ho
0.0208 0.0415 0.0325 Sc
0.7012 0.4025 0.2107 Sc
0.2988 0.5975 0.7107 Sc
0.9792 0.9585 0.5325 Sc
0.2867 0.5733 0.2986 Sc
0.4782 0.9564 0.7345 Sc
0.3988 0.7976 0.0228 Sc
0.6012 0.2024 0.5228 Sc
0.7133 0.4267 0.7986 Sc
0.5218 0.0436 0.2345 Sc
0.4182 0.8363 0.4595 Dy
0.5818 0.1637 0.9595 Dy
0.7917 0.5834 0.5093 Tb
0.2083 0.4166 0.0093 Tb
```

Values from the calculation:
mass density	5.7	Mg/m³
total DFT energy (no corrections)	-5.393	eV/atom

Repeat the fourth record exactly.
RbMg14Cr | GGA-PBE | relaxed

```
RbMg14Cr
1.0
-5.8966 -2.7971 -0.1293
5.2726 -3.1917 -2.1498
1.6450 -3.9235 9.8594
Mg Cr Rb
14 1 1
Direct
0.1732 0.8268 0.7328 Mg
0.8366 0.1634 0.0000 Mg
0.3292 0.1581 0.0000 Mg
0.3344 0.6656 0.0000 Mg
0.6647 0.8217 0.7576 Mg
0.1783 0.3353 0.2424 Mg
0.1783 0.3353 0.7576 Mg
0.1732 0.8268 0.2672 Mg
0.6642 0.3358 0.7691 Mg
0.6642 0.3358 0.2309 Mg
0.3210 0.1805 0.5000 Mg
0.8419 0.6708 0.0000 Mg
0.6647 0.8217 0.2424 Mg
0.8195 0.6790 0.5000 Mg
0.3396 0.6604 0.5000 Cr
0.8171 0.1829 0.5000 Rb
```

Values from the calculation:
mass density	2.0	Mg/m³
energy above the most stable polymorph in this dataset	0.11	eV per formula unit
total DFT energy (no corrections)	-1.847	eV/atom